Entry from the Alexandria database: crystalline Sc2RuO at its relaxed geometry (PBE).

extended XYZ file:
```
8
Lattice="-0.787 4.687 -3.668 -5.888 -0.075 1.167 -2.797 4.646 1.624" Properties=species:S:1:pos:R:3 pbc="T T T"
Sc -4.533 2.032 0.417
O -6.011 3.438 0.771
Sc -7.522 7.525 -1.052
O -3.337 2.306 -1.250
Ru 0.000 0.000 0.000
Sc -5.018 5.209 0.363
Ru -3.461 5.819 -1.647
Sc -1.871 3.749 -1.481
```

Properties
uncorrected energy	-8.06	eV per atom
D(E_F)	0.21	states/eV/atom